(1)
Material: BaHfMnOs2
Method: DFT, GGA-PBE
State: optimized geometry

ΔE_f   2.3820 eV per atom

a b c (Å): 4.865 4.865 5.711
angles (deg): 90.00 90.00 90.00
Fractional positions:
Ba1 0.000 0.000 0.000
Hf1 0.000 0.000 0.500
Mn1 0.500 0.500 0.000
Os1 0.000 0.500 0.500
Os2 0.500 0.000 0.500

***

(2)
Material: BaHfMnP2
Method: DFT, GGA-PBE
State: optimized geometry

ΔE_f   0.5942 eV per atom

a b c (Å): 5.014 5.014 6.362
angles (deg): 90.00 90.00 90.00
Fractional positions:
Ba1 0.000 0.000 0.000
Hf1 0.000 0.000 0.500
Mn1 0.500 0.500 0.000
P1 0.000 0.500 0.500
P2 0.500 0.000 0.500